# TeAs2Ir (PBE-GGA, optimized geometry)
data_TeAs2Ir
_chemical_formula_sum 'Te1 As2 Ir1'
_space_group_name_H-M_alt 'P 4/m m m'
_space_group_IT_number 123
_space_group_name_Hall '-P 4 2'
_cell_length_a 3.029
_cell_length_b 3.029
_cell_length_c 9.576
_cell_angle_alpha 90.00
_cell_angle_beta 90.00
_cell_angle_gamma 90.00
loop_
_atom_site_label
_atom_site_type_symbol
_atom_site_fract_x
_atom_site_fract_y
_atom_site_fract_z
_atom_site_occupancy
Te1 Te 0.000 0.000 0.000 1
As1 As 0.500 0.500 0.332 1
Ir1 Ir 0.000 0.000 0.500 1
# Total magnetization in μB per cell: 0.00
# Volume in Å³/atom: 21.962
# Raw formation energy in eV/atom: 0.101
# Theoretical density in g/cm3: 8.88